{
  "formula": "CrMo4Br",
  "functional": "meta-GGA SCAN",
  "state": "single point on PBEsol structure",
  "cell": [[0.000, 3.679, 3.679], [3.679, 0.000, 3.679], [3.679, 3.679, 0.000]],
  "species": ["Cr", "Mo", "Mo", "Mo", "Mo", "Br"],
  "fractional_positions": [[0.000, 0.000, 0.000], [0.375, 0.375, 0.375], [0.375, 0.375, 0.874], [0.375, 0.874, 0.375], [0.874, 0.375, 0.375], [0.750, 0.750, 0.750]],
  "m_tot_mub_per_cell": 2.773,
  "raw_formation_energy_ev_per_atom": 0.937,
  "volume_a3_per_cell": 100
}